# K2VGeO5, optimized geometry, DFT PBE with a Hubbard U
# Raw total energy, eV/cell: -221.17
data_K2VGeO5
_cell_length_a 3.078
_cell_length_b 15.158
_cell_length_c 12.106
_cell_angle_alpha 90.00
_cell_angle_beta 90.00
_cell_angle_gamma 90.00
_symmetry_space_group_name_H-M 'C m c 21'
_symmetry_Int_Tables_number 36
loop_
_symmetry_equiv_pos_as_xyz
'x,y,z'
'-x,-y,z+1/2'
'-x,y,z'
'x,-y,z+1/2'
'x+1/2,y+1/2,z'
'-x+1/2,-y+1/2,z+1/2'
'-x+1/2,y+1/2,z'
'x+1/2,-y+1/2,z+1/2'
loop_
_atom_site_label
_atom_site_type_symbol
_atom_site_fract_x
_atom_site_fract_y
_atom_site_fract_z
K1 K 0.000 0.095 0.000
K2 K 0.000 0.143 0.644
V1 V 0.000 0.225 0.372
Ge1 Ge 0.000 0.439 0.769
O1 O 0.000 0.044 0.352
O2 O 0.000 0.284 0.973
O3 O 0.000 0.321 0.766
O4 O 0.000 0.333 0.337
O5 O 0.000 0.492 0.645